Record 1
This record from the Alexandria database describes a geometry-optimized CeZnSn structure. The functional is PBE.

Volume (Å³/atom): 25.03
ΔH_f (0 K) (kJ/mol of formula units): -135
E (eV/cell): -12.61

a b c (Å): 4.5076 4.5076 4.2678
angles (deg): 90.00 90.00 120.00
Space group P3m1 (No. 156)
Inequivalent atoms, fractional coordinates:
1 Ce 0.0000 0.0000 0.0000 (multiplicity 1)
2 Zn 0.6667 0.3333 0.5891 (multiplicity 1)
3 Sn 0.3333 0.6667 0.4777 (multiplicity 1)

***

Record 2
This record from the Alexandria database describes a geometry-optimized CeZnSn structure. The functional is PBE.

Volume (Å³/atom): 23.36
ΔH_f (0 K) (kJ/mol of formula units): -53
E (eV/cell): -94.06

a b c (Å): 5.294 9.310 11.375
angles (deg): 90.00 90.00 90.00
Space group Fmmm (No. 69)
Inequivalent atoms, fractional coordinates:
1 Ce 0.000 0.174 0.000 (multiplicity 8)
2 Zn 0.250 0.250 0.250 (multiplicity 8)
3 Sn 0.000 0.000 0.366 (multiplicity 8)

***

Record 3
This record from the Alexandria database describes a geometry-optimized Ce2Zn6Sn structure. The functional is PBE.

Volume (Å³/atom): 19.78
ΔH_f (0 K) (kJ/mol of formula units): -252
E (eV/cell): -26.13

a b c (Å): 5.9339 5.9339 5.8379
angles (deg): 90.00 90.00 120.00
Space group P-3m1 (No. 164)
Inequivalent atoms, fractional coordinates:
1 Ce 0.3333 0.6667 0.3437 (multiplicity 2)
2 Zn 0.1850 0.3701 0.8500 (multiplicity 6)
3 Sn 0.0000 0.0000 0.5000 (multiplicity 1)

***

Record 4
This record from the Alexandria database describes a geometry-optimized CeZr4Sn2 structure. The functional is PBE.

Volume (Å³/atom): 24.12
ΔH_f (0 K) (kJ/mol of formula units): -162
E (eV/cell): -99.62

a b c (Å): 3.109 4.979 21.809
angles (deg): 90.00 90.00 90.00
Space group Immm (No. 71)
Inequivalent atoms, fractional coordinates:
1 Ce 0.000 0.000 0.000 (multiplicity 2)
2 Zr 0.000 0.000 0.145 (multiplicity 4)
3 Zr 0.000 0.500 0.223 (multiplicity 4)
4 Sn 0.000 0.000 0.411 (multiplicity 4)

***

Record 5
This record from the Alexandria database describes a geometry-optimized CeZrSn2 structure. The functional is PBE.

Volume (Å³/atom): 25.33
ΔH_f (0 K) (kJ/mol of formula units): -185
E (eV/cell): -24.41

a b c (Å): 3.918 3.918 6.602
angles (deg): 90.00 90.00 90.00
Space group P4/mmm (No. 123)
Inequivalent atoms, fractional coordinates:
1 Ce 0.000 0.000 0.000 (multiplicity 1)
2 Zr 0.000 0.000 0.500 (multiplicity 1)
3 Sn 0.500 0.500 0.277 (multiplicity 2)

***

Record 6
This record from the Alexandria database describes a geometry-optimized CeZrSn2 structure. The functional is PBE.

Volume (Å³/atom): 25.05
ΔH_f (0 K) (kJ/mol of formula units): -137
E (eV/cell): -71.74

a b c (Å): 3.3358 3.3358 31.1955
angles (deg): 90.00 90.00 120.00
Space group R-3m (No. 166, hexagonal axes)
Inequivalent atoms, fractional coordinates:
1 Ce 0.0000 0.0000 0.0000 (multiplicity 3)
2 Zr 0.0000 0.0000 0.5000 (multiplicity 3)
3 Sn 0.0000 0.0000 0.2447 (multiplicity 6)